Density functional theory data (GGA+U) for a relaxed structure of VRhI2F.

N(E_F) ... 5.2 states/eV per cell
Final energy ... -3.724 eV per atom
Crystal system ... tetragonal

The structure in POSCAR format:
```
VRhI2F
1.0
5.195 0.000 0.000
0.000 5.195 0.000
0.000 0.000 5.332
V Rh I F
1 1 2 1
Direct
0.000 0.000 0.000
0.000 0.000 0.500
0.000 0.500 0.500
0.500 0.000 0.500
0.500 0.500 0.000
```